Gd3TlNi after structural relaxation. Source: the Alexandria database, functional PBE.

Geometry as CIF:
```
data_Gd3TlNi
_cell_length_a 5.2647
_cell_length_b 5.2647
_cell_length_c 5.2647
_cell_angle_alpha 90.00
_cell_angle_beta 90.00
_cell_angle_gamma 90.00
_symmetry_space_group_name_H-M 'P 1'
_symmetry_Int_Tables_number 1
_symmetry_space_group_name_Hall 'P 1'
loop_
_atom_site_label
_atom_site_fract_x
_atom_site_fract_y
_atom_site_fract_z
Ni1 0.0000 0.0000 0.0000
Tl1 0.5000 0.5000 0.5000
Gd1 0.0000 0.5000 0.0000
Gd2 0.0000 0.0000 0.5000
Gd3 0.5000 0.0000 0.0000
```

Values from the calculation:
density = 8.4 g/cm3
density of states at the Fermi level = 7.48 states/eV per cell
total magnetic moment = 22.4 μB per cell
ΔE_f = -0.186 eV per atom